# Na3MnBPO7 | Alexandria via LeMat-Bulk | PBE with a Hubbard U | optimized geometry
# * V: 12.37 Å³ per atom
# * E_tot: -171.542 eV per cell
data_Na3MnBPO7
_chemical_formula_sum 'Na6 Mn2 B2 P2 O14'
_cell_length_a 5.2079
_cell_length_b 7.0218
_cell_length_c 8.8008
_cell_angle_alpha 90.00
_cell_angle_beta 92.09
_cell_angle_gamma 90.00
_space_group_name_H-M_alt 'P 1 21/m 1'
_space_group_IT_number 11
loop_
_space_group_symop_operation_xyz
'x,y,z'
'-x,-y,-z'
'-x,y+1/2,-z'
'x,-y+1/2,z'
loop_
_atom_site_label
_atom_site_type_symbol
_atom_site_fract_x
_atom_site_fract_y
_atom_site_fract_z
Na1 Na 0.2303 0.2500 0.0802
Na2 Na 0.2568 0.5085 0.7387
Mn1 Mn 0.2188 0.7500 0.3391
B1 B 0.2768 0.7500 0.0678
P1 P 0.2762 0.2500 0.4184
O1 O 0.0380 0.7500 0.1378
O2 O 0.1264 0.2500 0.5681
O3 O 0.2129 0.0721 0.3207
O4 O 0.3089 0.7500 0.9176
O5 O 0.4281 0.7500 0.5356
O6 O 0.4759 0.7500 0.1809